Here is a relaxed HfZr6Tl3 crystal from the Alexandria database. Energies are from PBE-GGA.

```
data_HfZr6Tl3
_chemical_formula_sum 'Hf1 Zr6 Tl3'
_cell_length_a 8.547
_cell_length_b 8.547
_cell_length_c 6.244
_cell_angle_alpha 46.81
_cell_angle_beta 46.81
_cell_angle_gamma 60.00
_symmetry_space_group_name_H-M 'P 1'
_symmetry_Int_Tables_number 1
_symmetry_space_group_name_Hall 'P 1'
loop_
_atom_site_label
_atom_site_type_symbol
_atom_site_fract_x
_atom_site_fract_y
_atom_site_fract_z
Hf1 Hf 0.850 0.850 0.450
Zr1 Zr 0.949 0.611 0.189
Zr2 Zr 0.251 0.949 0.189
Zr3 Zr 0.611 0.251 0.189
Zr4 Zr 0.089 0.449 0.711
Zr5 Zr 0.751 0.089 0.711
Zr6 Zr 0.449 0.751 0.711
Tl1 Tl 0.350 0.350 0.950
Tl2 Tl 0.602 0.602 0.193
Tl3 Tl 0.098 0.098 0.707
```

## Properties
DFT formation energy   243 meV/atom

---

Here is a relaxed Hf2Zr7Tl crystal from the Alexandria database. Energies are from PBE-GGA.

```
data_Hf2Zr7Tl
_chemical_formula_sum 'Hf2 Zr7 Tl1'
_cell_length_a 4.978
_cell_length_b 8.161
_cell_length_c 8.161
_cell_angle_alpha 122.60
_cell_angle_beta 90.00
_cell_angle_gamma 90.00
_symmetry_space_group_name_H-M 'P 1'
_symmetry_Int_Tables_number 1
_symmetry_space_group_name_Hall 'P 1'
loop_
_atom_site_label
_atom_site_type_symbol
_atom_site_fract_x
_atom_site_fract_y
_atom_site_fract_z
Hf1 Hf 0.500 0.704 0.296
Hf2 Hf 0.500 0.296 0.704
Zr1 Zr 0.000 0.770 0.230
Zr2 Zr 0.000 0.230 0.770
Zr3 Zr 0.500 0.065 0.282
Zr4 Zr 0.500 0.935 0.718
Zr5 Zr 0.500 0.282 0.065
Zr6 Zr 0.500 0.718 0.935
Zr7 Zr 0.500 0.500 0.500
Tl1 Tl 0.000 0.000 0.000
```

## Properties
DFT formation energy   795 meV/atom

---

Here is a relaxed Hf2Zr2Tl crystal from the Alexandria database. Energies are from PBE-GGA.

```
data_Hf2Zr2Tl
_chemical_formula_sum 'Hf4 Zr4 Tl2'
_cell_length_a 7.675
_cell_length_b 7.675
_cell_length_c 3.965
_cell_angle_alpha 90.00
_cell_angle_beta 90.00
_cell_angle_gamma 90.00
_symmetry_space_group_name_H-M 'P 1'
_symmetry_Int_Tables_number 1
_symmetry_space_group_name_Hall 'P 1'
loop_
_atom_site_label
_atom_site_type_symbol
_atom_site_fract_x
_atom_site_fract_y
_atom_site_fract_z
Tl1 Tl 0.000 0.000 0.000
Tl2 Tl 0.500 0.500 0.000
Hf1 Hf 0.367 0.867 0.000
Hf2 Hf 0.867 0.633 0.000
Hf3 Hf 0.633 0.133 0.000
Hf4 Hf 0.133 0.367 0.000
Zr1 Zr 0.165 0.665 0.500
Zr2 Zr 0.665 0.835 0.500
Zr3 Zr 0.835 0.335 0.500
Zr4 Zr 0.335 0.165 0.500
```

## Properties
Energy above the most stable polymorph in this dataset   0 meV per atom
DFT formation energy   134 meV/atom

---

Here is a relaxed HfZr8Tl2 crystal from the Alexandria database. Energies are from PBE-GGA.

```
data_HfZr8Tl2
_chemical_formula_sum 'Hf1 Zr8 Tl2'
_cell_length_a 5.328
_cell_length_b 8.093
_cell_length_c 8.093
_cell_angle_alpha 121.28
_cell_angle_beta 103.71
_cell_angle_gamma 103.71
_symmetry_space_group_name_H-M 'P 1'
_symmetry_Int_Tables_number 1
_symmetry_space_group_name_Hall 'P 1'
loop_
_atom_site_label
_atom_site_type_symbol
_atom_site_fract_x
_atom_site_fract_y
_atom_site_fract_z
Hf1 Hf 0.500 0.000 0.000
Zr1 Zr 0.838 0.899 0.682
Zr2 Zr 0.838 0.682 0.899
Zr3 Zr 0.292 0.595 0.595
Zr4 Zr 0.500 0.789 0.211
Zr5 Zr 0.500 0.211 0.789
Zr6 Zr 0.708 0.405 0.405
Zr7 Zr 0.162 0.318 0.101
Zr8 Zr 0.162 0.101 0.318
Tl1 Tl 0.000 0.304 0.696
Tl2 Tl 0.000 0.696 0.304
```

## Properties
DFT formation energy   103 meV/atom

---

Here is a relaxed Hf6Zr2Tl crystal from the Alexandria database. Energies are from PBE-GGA.

```
data_Hf6Zr2Tl
_chemical_formula_sum 'Hf6 Zr2 Tl1'
_cell_length_a 3.126
_cell_length_b 7.920
_cell_length_c 8.841
_cell_angle_alpha 78.82
_cell_angle_beta 79.82
_cell_angle_gamma 78.62
_symmetry_space_group_name_H-M 'P 1'
_symmetry_Int_Tables_number 1
_symmetry_space_group_name_Hall 'P 1'
loop_
_atom_site_label
_atom_site_type_symbol
_atom_site_fract_x
_atom_site_fract_y
_atom_site_fract_z
Hf1 Hf 0.765 0.362 0.108
Hf2 Hf 0.235 0.638 0.892
Hf3 Hf 0.384 0.683 0.548
Hf4 Hf 0.054 0.646 0.246
Hf5 Hf 0.946 0.354 0.754
Hf6 Hf 0.616 0.317 0.452
Zr1 Zr 0.326 0.017 0.331
Zr2 Zr 0.674 0.983 0.669
Tl1 Tl 0.000 0.000 0.000
```

## Properties
DFT formation energy   47 meV/atom

---

Here is a relaxed Hf3Zr8Tl crystal from the Alexandria database. Energies are from PBE-GGA.

```
data_Hf3Zr8Tl
_chemical_formula_sum 'Hf3 Zr8 Tl1'
_cell_length_a 8.151
_cell_length_b 8.151
_cell_length_c 8.151
_cell_angle_alpha 74.05
_cell_angle_beta 129.60
_cell_angle_gamma 129.60
_symmetry_space_group_name_H-M 'P 1'
_symmetry_Int_Tables_number 1
_symmetry_space_group_name_Hall 'P 1'
loop_
_atom_site_label
_atom_site_type_symbol
_atom_site_fract_x
_atom_site_fract_y
_atom_site_fract_z
Hf1 Hf 0.500 0.750 0.250
Hf2 Hf 0.500 0.250 0.750
Hf3 Hf 0.000 0.500 0.500
Zr1 Zr 0.491 0.897 0.897
Zr2 Zr 0.509 0.406 0.406
Zr3 Zr 0.000 0.103 0.594
Zr4 Zr 0.000 0.594 0.103
Zr5 Zr 0.479 0.630 0.630
Zr6 Zr 0.521 0.151 0.151
Zr7 Zr 0.000 0.370 0.849
Zr8 Zr 0.000 0.849 0.370
Tl1 Tl 0.000 0.000 0.000
```

## Properties
DFT formation energy   678 meV/atom

---

Here is a relaxed Hf3ZrTl crystal from the Alexandria database. Energies are from PBE-GGA.

```
data_Hf3ZrTl
_chemical_formula_sum 'Hf12 Zr4 Tl4'
_cell_length_a 5.863
_cell_length_b 9.021
_cell_length_c 9.021
_cell_angle_alpha 83.96
_cell_angle_beta 79.71
_cell_angle_gamma 79.71
_symmetry_space_group_name_H-M 'P 1'
_symmetry_Int_Tables_number 1
_symmetry_space_group_name_Hall 'P 1'
loop_
_atom_site_label
_atom_site_type_symbol
_atom_site_fract_x
_atom_site_fract_y
_atom_site_fract_z
Hf1 Hf 0.148 0.729 0.870
Hf2 Hf 0.352 0.130 0.271
Hf3 Hf 0.852 0.271 0.130
Hf4 Hf 0.648 0.870 0.729
Hf5 Hf 0.355 0.379 0.008
Hf6 Hf 0.145 0.992 0.621
Hf7 Hf 0.645 0.621 0.992
Hf8 Hf 0.855 0.008 0.379
Hf9 Hf 0.038 0.428 0.783
Hf10 Hf 0.462 0.217 0.572
Hf11 Hf 0.962 0.572 0.217
Hf12 Hf 0.538 0.783 0.428
Zr1 Zr 0.535 0.537 0.676
Zr2 Zr 0.965 0.324 0.463
Zr3 Zr 0.465 0.463 0.324
Zr4 Zr 0.035 0.676 0.537
Tl1 Tl 0.750 0.921 0.079
Tl2 Tl 0.250 0.079 0.921
Tl3 Tl 0.750 0.184 0.816
Tl4 Tl 0.250 0.816 0.184
```

## Properties
Energy above the most stable polymorph in this dataset   72 meV per atom
DFT formation energy   101 meV/atom

---

Here is a relaxed Hf4Zr9Tl11 crystal from the Alexandria database. Energies are from PBE-GGA.

```
data_Hf4Zr9Tl11
_chemical_formula_sum 'Hf4 Zr9 Tl11'
_cell_length_a 3.179
_cell_length_b 13.142
_cell_length_c 13.142
_cell_angle_alpha 93.38
_cell_angle_beta 90.00
_cell_angle_gamma 90.00
_symmetry_space_group_name_H-M 'P 1'
_symmetry_Int_Tables_number 1
_symmetry_space_group_name_Hall 'P 1'
loop_
_atom_site_label
_atom_site_type_symbol
_atom_site_fract_x
_atom_site_fract_y
_atom_site_fract_z
Hf1 Hf 0.500 0.553 0.718
Hf2 Hf 0.500 0.447 0.282
Hf3 Hf 0.500 0.718 0.553
Hf4 Hf 0.500 0.282 0.447
Zr1 Zr 0.500 0.623 0.132
Zr2 Zr 0.500 0.377 0.868
Zr3 Zr 0.500 0.132 0.623
Zr4 Zr 0.500 0.868 0.377
Zr5 Zr 0.500 0.794 0.967
Zr6 Zr 0.500 0.206 0.033
Zr7 Zr 0.500 0.967 0.794
Zr8 Zr 0.500 0.033 0.206
Zr9 Zr 0.500 0.500 0.500
Tl1 Tl 0.000 0.587 0.923
Tl2 Tl 0.000 0.413 0.077
Tl3 Tl 0.000 0.923 0.587
Tl4 Tl 0.000 0.077 0.413
Tl5 Tl 0.000 0.647 0.353
Tl6 Tl 0.000 0.353 0.647
Tl7 Tl 0.000 0.826 0.174
Tl8 Tl 0.000 0.174 0.826
Tl9 Tl 0.000 0.000 0.000
Tl10 Tl 0.000 0.759 0.759
Tl11 Tl 0.000 0.241 0.241
```

## Properties
DFT formation energy   22 meV/atom

---

Here is a relaxed HfZrTl2 crystal from the Alexandria database. Energies are from PBE-GGA.

```
data_HfZrTl2
_chemical_formula_sum 'Hf1 Zr1 Tl2'
_cell_length_a 4.373
_cell_length_b 4.553
_cell_length_c 4.553
_cell_angle_alpha 90.00
_cell_angle_beta 90.00
_cell_angle_gamma 90.00
_symmetry_space_group_name_H-M 'P 1'
_symmetry_Int_Tables_number 1
_symmetry_space_group_name_Hall 'P 1'
loop_
_atom_site_label
_atom_site_type_symbol
_atom_site_fract_x
_atom_site_fract_y
_atom_site_fract_z
Tl1 Tl 0.000 0.000 0.500
Tl2 Tl 0.000 0.500 0.000
Hf1 Hf 0.500 0.000 0.000
Zr1 Zr 0.500 0.500 0.500
```

## Properties
Energy above the most stable polymorph in this dataset   3 meV per atom
DFT formation energy   25 meV/atom

---

Here is a relaxed Hf3Zr2Tl crystal from the Alexandria database. Energies are from PBE-GGA.

```
data_Hf3Zr2Tl
_chemical_formula_sum 'Hf3 Zr2 Tl1'
_cell_length_a 4.406
_cell_length_b 4.436
_cell_length_c 7.268
_cell_angle_alpha 107.77
_cell_angle_beta 90.00
_cell_angle_gamma 90.00
_symmetry_space_group_name_H-M 'P 1'
_symmetry_Int_Tables_number 1
_symmetry_space_group_name_Hall 'P 1'
loop_
_atom_site_label
_atom_site_type_symbol
_atom_site_fract_x
_atom_site_fract_y
_atom_site_fract_z
Hf1 Hf 0.500 0.168 0.336
Hf2 Hf 0.500 0.500 0.000
Hf3 Hf 0.500 0.832 0.664
Zr1 Zr 0.000 0.668 0.336
Zr2 Zr 0.000 0.332 0.664
Tl1 Tl 0.000 0.000 0.000
```

## Properties
Energy above the most stable polymorph in this dataset   0 meV per atom
DFT formation energy   2 meV/atom

---

Here is a relaxed HfZr2Tl crystal from the Alexandria database. Energies are from PBE-GGA.

```
data_HfZr2Tl
_chemical_formula_sum 'Hf1 Zr2 Tl1'
_cell_length_a 5.028
_cell_length_b 5.028
_cell_length_c 5.028
_cell_angle_alpha 60.00
_cell_angle_beta 60.00
_cell_angle_gamma 60.00
_symmetry_space_group_name_H-M 'P 1'
_symmetry_Int_Tables_number 1
_symmetry_space_group_name_Hall 'P 1'
loop_
_atom_site_label
_atom_site_type_symbol
_atom_site_fract_x
_atom_site_fract_y
_atom_site_fract_z
Tl1 Tl 0.500 0.500 0.500
Hf1 Hf 0.000 0.000 0.000
Zr1 Zr 0.250 0.250 0.250
Zr2 Zr 0.750 0.750 0.750
```

## Properties
Energy above the most stable polymorph in this dataset   167 meV per atom
DFT formation energy   102 meV/atom